# 1
{
  "formula": "Sm2GdAl",
  "functional": "GGA-PBE",
  "state": "optimized geometry",
  "magnetic_moment_mub_per_fu": 7.88,
  "spacegroup": "Fm-3m",
  "energy_ev_per_cell": -110.14,
  "ef_ev_per_atom": -0.068,
  "vol_a3_per_fu": 112.8,
  "lattice": [[7.6696, 0.0000, 0.0000], [0.0000, 7.6696, 0.0000], [0.0000, 0.0000, 7.6696]],
  "species": ["Sm", "Sm", "Sm", "Sm", "Sm", "Sm", "Sm", "Sm", "Gd", "Gd", "Gd", "Gd", "Al", "Al", "Al", "Al"],
  "fractional_positions": [[0.2500, 0.2500, 0.2500], [0.2500, 0.2500, 0.7500], [0.2500, 0.7500, 0.2500], [0.2500, 0.7500, 0.7500], [0.7500, 0.2500, 0.2500], [0.7500, 0.2500, 0.7500], [0.7500, 0.7500, 0.2500], [0.7500, 0.7500, 0.7500], [0.0000, 0.0000, 0.0000], [0.0000, 0.5000, 0.5000], [0.5000, 0.0000, 0.5000], [0.5000, 0.5000, 0.0000], [0.0000, 0.0000, 0.5000], [0.0000, 0.5000, 0.0000], [0.5000, 0.0000, 0.0000], [0.5000, 0.5000, 0.5000]]
}

# 2
{
  "formula": "Tl3MoC",
  "functional": "GGA-PBE",
  "state": "optimized geometry",
  "magnetic_moment_mub_per_fu": 4.24,
  "spacegroup": "Pm-3m",
  "energy_ev_per_cell": -18.81,
  "ef_ev_per_atom": 1.669,
  "vol_a3_per_fu": 119.8,
  "lattice": [[4.9292, 0.0000, 0.0000], [0.0000, 4.9292, 0.0000], [0.0000, 0.0000, 4.9292]],
  "species": ["Tl", "Tl", "Tl", "Mo", "C"],
  "fractional_positions": [[0.0000, 0.0000, 0.5000], [0.0000, 0.5000, 0.0000], [0.5000, 0.0000, 0.0000], [0.5000, 0.5000, 0.5000], [0.0000, 0.0000, 0.0000]]
}

# 3
{
  "formula": "RbNa2InCl4",
  "functional": "GGA-PBE",
  "state": "optimized geometry",
  "magnetic_moment_mub_per_fu": 0.00,
  "spacegroup": "P2/m",
  "raw_formation_energy_ev_per_atom": -1.56,
  "energy_ev_per_cell": -26.23,
  "vol_a3_per_fu": 230.4,
  "lattice": [[7.4137, 0.0000, 0.0000], [0.0000, 4.2808, 0.0000], [-2.4593, 0.0000, 7.2610]],
  "species": ["Rb", "Na", "Na", "In", "Cl", "Cl", "Cl", "Cl"],
  "fractional_positions": [[0.0000, 0.0000, 0.0000], [0.0000, 0.5000, 0.5000], [0.5000, 0.0000, 0.5000], [0.5000, 0.5000, 0.0000], [0.2412, 0.0000, 0.7135], [0.2666, 0.5000, 0.2870], [0.7333, 0.5000, 0.7130], [0.7588, 0.0000, 0.2865]]
}

# 4
{
  "formula": "CuAsI2",
  "functional": "GGA-PBE",
  "state": "optimized geometry",
  "magnetic_moment_mub_per_fu": 0.00,
  "spacegroup": "Fm-3m",
  "raw_formation_energy_ev_per_atom": 0.70,
  "energy_ev_per_cell": -36.21,
  "vol_a3_per_fu": 98.7,
  "lattice": [[7.3357, 0.0000, 0.0000], [0.0000, 7.3357, 0.0000], [0.0000, 0.0000, 7.3357]],
  "species": ["Cu", "Cu", "Cu", "Cu", "As", "As", "As", "As", "I", "I", "I", "I", "I", "I", "I", "I"],
  "fractional_positions": [[0.0000, 0.0000, 0.0000], [0.0000, 0.5000, 0.5000], [0.5000, 0.0000, 0.5000], [0.5000, 0.5000, 0.0000], [0.0000, 0.0000, 0.5000], [0.0000, 0.5000, 0.0000], [0.5000, 0.0000, 0.0000], [0.5000, 0.5000, 0.5000], [0.2500, 0.2500, 0.2500], [0.2500, 0.2500, 0.7500], [0.2500, 0.7500, 0.2500], [0.2500, 0.7500, 0.7500], [0.7500, 0.2500, 0.2500], [0.7500, 0.2500, 0.7500], [0.7500, 0.7500, 0.2500], [0.7500, 0.7500, 0.7500]]
}

# 5
{
  "formula": "LiCdSbAs2",
  "functional": "GGA-PBE",
  "state": "optimized geometry",
  "magnetic_moment_mub_per_fu": 0.00,
  "spacegroup": "P4/mmm",
  "raw_formation_energy_ev_per_atom": 0.34,
  "energy_ev_per_cell": -14.56,
  "vol_a3_per_fu": 110.0,
  "lattice": [[4.7057, 0.0000, 0.0000], [0.0000, 4.7057, 0.0000], [0.0000, 0.0000, 4.9665]],
  "species": ["Li", "Cd", "Sb", "As", "As"],
  "fractional_positions": [[0.0000, 0.0000, 0.0000], [0.0000, 0.0000, 0.5000], [0.5000, 0.5000, 0.5000], [0.0000, 0.5000, 0.0000], [0.5000, 0.0000, 0.0000]]
}

# 6
{
  "formula": "Ce2Er2Th5",
  "functional": "GGA-PBE",
  "state": "optimized geometry",
  "magnetic_moment_mub_per_fu": 0.29,
  "spacegroup": "C2/m",
  "energy_ev_per_cell": -56.85,
  "ef_ev_per_atom": 0.138,
  "vol_a3_per_fu": 278.7,
  "lattice": [[5.3230, -2.9595, 0.0000], [5.3230, 2.9595, 0.0000], [-1.8036, 0.0000, 8.8460]],
  "species": ["Ce", "Ce", "Er", "Er", "Th", "Th", "Th", "Th", "Th"],
  "fractional_positions": [[0.1665, 0.1665, 0.0013], [0.8335, 0.8335, 0.9987], [0.2763, 0.2763, 0.6637], [0.7237, 0.7237, 0.3363], [0.0549, 0.0549, 0.3227], [0.3831, 0.3831, 0.3305], [0.5000, 0.5000, 0.0000], [0.6169, 0.6169, 0.6695], [0.9451, 0.9451, 0.6773]]
}

# 7
{
  "formula": "Hf2Zr2O",
  "functional": "GGA-PBE",
  "state": "optimized geometry",
  "magnetic_moment_mub_per_fu": 0.00,
  "spacegroup": "P4/mmm",
  "raw_formation_energy_ev_per_atom": -1.07,
  "energy_ev_per_cell": -47.32,
  "vol_a3_per_fu": 93.3,
  "lattice": [[4.5886, 0.0000, 0.0000], [0.0000, 4.5886, 0.0000], [0.0000, 0.0000, 4.4323]],
  "species": ["Hf", "Hf", "Zr", "Zr", "O"],
  "fractional_positions": [[0.0000, 0.0000, 0.0000], [0.5000, 0.5000, 0.0000], [0.0000, 0.5000, 0.5000], [0.5000, 0.0000, 0.5000], [0.0000, 0.0000, 0.5000]]
}

# 8
{
  "formula": "CdHgRu2",
  "functional": "GGA-PBE",
  "state": "optimized geometry",
  "magnetic_moment_mub_per_fu": 0.00,
  "spacegroup": "P4mm",
  "energy_ev_per_cell": -18.98,
  "ef_ev_per_atom": 0.197,
  "vol_a3_per_fu": 70.0,
  "lattice": [[2.8943, 0.0000, 0.0000], [0.0000, 2.8943, 0.0000], [0.0000, 0.0000, 8.3590]],
  "species": ["Cd", "Hg", "Ru", "Ru"],
  "fractional_positions": [[0.0000, 0.0000, 0.0000], [0.5000, 0.5000, 0.3062], [0.0000, 0.0000, 0.5631], [0.5000, 0.5000, 0.7504]]
}

# 9
{
  "formula": "Tl2OsO6",
  "functional": "GGA-PBE",
  "state": "optimized geometry",
  "magnetic_moment_mub_per_fu": 0.00,
  "spacegroup": "P2_1/c",
  "raw_formation_energy_ev_per_atom": -0.78,
  "energy_ev_per_cell": -105.37,
  "vol_a3_per_fu": 141.8,
  "lattice": [[5.7446, 0.0000, 0.0000], [0.0000, 5.4832, 0.0000], [-5.7429, 0.0000, 9.0051]],
  "species": ["Tl", "Tl", "Tl", "Tl", "Os", "Os", "O", "O", "O", "O", "O", "O", "O", "O", "O", "O", "O", "O"],
  "fractional_positions": [[0.2011, 0.0007, 0.2014], [0.2011, 0.4993, 0.7014], [0.7989, 0.5007, 0.2986], [0.7989, 0.9993, 0.7986], [0.5000, 0.0000, 0.0000], [0.5000, 0.5000, 0.5000], [0.2125, 0.6986, 0.3509], [0.2125, 0.8014, 0.8509], [0.2141, 0.1808, 0.9995], [0.2141, 0.3192, 0.4995], [0.4884, 0.1967, 0.8499], [0.4884, 0.3033, 0.3499], [0.5116, 0.6967, 0.6501], [0.5116, 0.8033, 0.1501], [0.7859, 0.6808, 0.5005], [0.7859, 0.8192, 0.0005], [0.7875, 0.1986, 0.1491], [0.7875, 0.3014, 0.6491]]
}

# 10
{
  "formula": "AcVZn",
  "functional": "GGA-PBE",
  "state": "optimized geometry",
  "magnetic_moment_mub_per_fu": 0.00,
  "spacegroup": "P4/mmm",
  "energy_ev_per_cell": -27.86,
  "ef_ev_per_atom": 0.191,
  "vol_a3_per_fu": 72.6,
  "lattice": [[3.6269, 0.0000, 0.0000], [0.0000, 3.6269, 0.0000], [0.0000, 0.0000, 11.0418]],
  "species": ["Ac", "Ac", "V", "V", "Zn", "Zn"],
  "fractional_positions": [[0.0000, 0.0000, 0.1954], [0.0000, 0.0000, 0.8046], [0.5000, 0.5000, 0.4131], [0.5000, 0.5000, 0.5869], [0.0000, 0.0000, 0.5000], [0.5000, 0.5000, 0.0000]]
}

# 11
{
  "formula": "Pm2TcNi3Ge4",
  "functional": "GGA-PBE",
  "state": "optimized geometry",
  "magnetic_moment_mub_per_fu": 0.00,
  "spacegroup": "P-4m2",
  "energy_ev_per_cell": -62.04,
  "ef_ev_per_atom": -0.636,
  "vol_a3_per_fu": 171.7,
  "lattice": [[4.1480, 0.0000, 0.0000], [0.0000, 4.1480, 0.0000], [0.0000, 0.0000, 9.9786]],
  "species": ["Pm", "Pm", "Tc", "Ni", "Ni", "Ni", "Ge", "Ge", "Ge", "Ge"],
  "fractional_positions": [[0.0000, 0.5000, 0.2407], [0.5000, 0.0000, 0.7593], [0.0000, 0.0000, 0.5000], [0.0000, 0.5000, 0.8765], [0.5000, 0.0000, 0.1235], [0.5000, 0.5000, 0.5000], [0.0000, 0.0000, 0.0000], [0.0000, 0.5000, 0.6351], [0.5000, 0.0000, 0.3649], [0.5000, 0.5000, 0.0000]]
}

# 12
{
  "formula": "NbCoReCl2",
  "functional": "GGA-PBE",
  "state": "optimized geometry",
  "magnetic_moment_mub_per_fu": 2.37,
  "spacegroup": "P4/mmm",
  "raw_formation_energy_ev_per_atom": 1.27,
  "energy_ev_per_cell": -26.96,
  "vol_a3_per_fu": 113.3,
  "lattice": [[4.7025, 0.0000, 0.0000], [0.0000, 4.7025, 0.0000], [0.0000, 0.0000, 5.1222]],
  "species": ["Nb", "Co", "Re", "Cl", "Cl"],
  "fractional_positions": [[0.0000, 0.0000, 0.0000], [0.5000, 0.5000, 0.5000], [0.0000, 0.0000, 0.5000], [0.0000, 0.5000, 0.0000], [0.5000, 0.0000, 0.0000]]
}